No. 1
A plane-wave DFT calculation with GGA-PBE was carried out for a geometry-optimized Al2MoOs structure.

Results
- DOS at the Fermi energy: 0.57 states/eV per atom
- Energy above the lowest structure with this stoichiometry: 223 meV per atom
- ΔH_f (0 K): -101 meV/atom

```
data_Al2MoOs
_symmetry_space_group_name_H-M 'P m m m'
_symmetry_Int_Tables_number 47
_cell_length_a 2.982
_cell_length_b 4.262
_cell_length_c 4.685
_cell_angle_alpha 90.00
_cell_angle_beta 90.00
_cell_angle_gamma 90.00
loop_
_symmetry_equiv_pos_as_xyz
'x,y,z'
'-x,-y,-z'
'-x,-y,z'
'x,y,-z'
'x,-y,-z'
'-x,y,z'
'-x,y,-z'
'x,-y,z'
loop_
_atom_site_label
_atom_site_type_symbol
_atom_site_fract_x
_atom_site_fract_y
_atom_site_fract_z
_atom_site_occupancy
Al1 Al 0.000 0.000 0.000 1
Al2 Al 0.500 0.000 0.500 1
Mo1 Mo 0.000 0.500 0.500 1
Os1 Os 0.500 0.500 0.000 1
```

---

No. 2
A plane-wave DFT calculation with GGA-PBE was carried out for a geometry-optimized CsGaIr3 structure.

Results
- DOS at the Fermi energy: 1.14 states/eV per atom
- Energy above the lowest structure with this stoichiometry: 1627 meV per atom
- ΔH_f (0 K): 2972 meV/atom

```
data_CsGaIr3
_symmetry_space_group_name_H-M 'P m -3 m'
_symmetry_Int_Tables_number 221
_symmetry_space_group_name_Hall '-P 4 2 3'
_cell_length_a 5.060
_cell_length_b 5.060
_cell_length_c 5.060
_cell_angle_alpha 90.00
_cell_angle_beta 90.00
_cell_angle_gamma 90.00
loop_
_atom_site_label
_atom_site_type_symbol
_atom_site_fract_x
_atom_site_fract_y
_atom_site_fract_z
_atom_site_occupancy
Cs1 Cs 0.000 0.000 0.000 1
Ga1 Ga 0.500 0.500 0.500 1
Ir1 Ir 0.000 0.000 0.500 1
```

---

No. 3
A plane-wave DFT calculation with GGA-PBE was carried out for a geometry-optimized SrEuSi structure.

Results
- ΔE_f (raw): -342 meV per atom
- DOS at the Fermi energy: 3.73 states/eV per atom

```
data_SrEuSi
_symmetry_space_group_name_H-M 'F -4 3 m'
_symmetry_Int_Tables_number 216
_symmetry_space_group_name_Hall 'F -4 2 3'
_cell_length_a 7.489
_cell_length_b 7.489
_cell_length_c 7.489
_cell_angle_alpha 90.00
_cell_angle_beta 90.00
_cell_angle_gamma 90.00
loop_
_atom_site_label
_atom_site_type_symbol
_atom_site_fract_x
_atom_site_fract_y
_atom_site_fract_z
_atom_site_occupancy
Sr1 Sr 0.000 0.000 0.000 1
Eu1 Eu 0.000 0.000 0.500 1
Si1 Si 0.250 0.250 0.750 1
```